No. 1
{"formula": "Na2CdHAu", "functional": "PBE", "state": "relaxed", "vol_a3_per_atom": 18.89, "dft_energy_ev_per_atom": -2.14, "crystal_system": "tetragonal", "spacegroup": "P4/mmm, No. 123", "polymorph_energy_mev_per_atom": 0, "lattice": [[4.8940, 0.0000, 0.0000], [0.0000, 4.8940, 0.0000], [0.0000, 0.0000, 3.9433]], "species": ["Na", "Na", "Au", "H", "Cd"], "fractional_positions": [[0.0000, 0.5000, 0.0000], [0.5000, 0.0000, 0.0000], [0.0000, 0.0000, 0.5000], [0.0000, 0.0000, 0.0000], [0.5000, 0.5000, 0.5000]]}

=====

No. 2
{"formula": "K2ZrI4Cl2", "functional": "PBE", "state": "relaxed", "vol_a3_per_atom": 40.16, "dft_energy_ev_per_atom": -3.71, "crystal_system": "monoclinic", "spacegroup": "C2/m, No. 12", "lattice": [[-4.1301, 0.6465, 7.0082], [-5.0381, -5.6692, 2.5164], [2.0486, -4.0970, 6.5477]], "species": ["K", "K", "Zr", "I", "I", "I", "I", "Cl", "Cl"], "fractional_positions": [[0.2187, 0.7553, 0.7553], [0.7813, 0.2447, 0.2447], [0.5000, 0.0000, 0.0000], [0.2964, 0.7130, 0.2061], [0.7036, 0.7939, 0.2870], [0.7036, 0.2870, 0.7939], [0.2964, 0.2061, 0.7130], [0.1968, 0.2257, 0.2257], [0.8032, 0.7743, 0.7743]]}

=====

No. 3
{"formula": "Sc2BeAu", "functional": "PBE", "state": "relaxed", "vol_a3_per_atom": 18.36, "dft_energy_ev_per_atom": -5.15, "crystal_system": "tetragonal", "spacegroup": "P4mm, No. 99", "formation_energy_ev_per_atom": -0.23, "lattice": [[3.2596, 0.0000, 0.0000], [0.0000, 3.2596, 0.0000], [0.0000, 0.0000, 6.9135]], "species": ["Sc", "Sc", "Be", "Au"], "fractional_positions": [[0.0000, 0.0000, 0.9603], [0.5000, 0.5000, 0.2849], [0.5000, 0.5000, 0.7101], [0.0000, 0.0000, 0.5447]]}

=====

No. 4
{"formula": "NaCa4Ac2", "functional": "PBE", "state": "relaxed", "vol_a3_per_atom": 43.06, "dft_energy_ev_per_atom": -2.47, "crystal_system": "trigonal", "spacegroup": "R-3m, No. 166", "formation_energy_ev_per_atom": 0.04, "lattice": [[3.9065, 0.0000, 0.3676], [1.9360, 3.3931, 0.3676], [-0.1671, -0.0970, 22.7166]], "species": ["Na", "Ca", "Ca", "Ca", "Ca", "Ac", "Ac"], "fractional_positions": [[0.0000, 0.0000, 0.0000], [0.3803, 0.3803, 0.8591], [0.0939, 0.0939, 0.7183], [0.6197, 0.6197, 0.1409], [0.9061, 0.9061, 0.2817], [0.1900, 0.1900, 0.4299], [0.8100, 0.8100, 0.5701]]}

=====

No. 5
{"formula": "La5Sb2As2", "functional": "PBE", "state": "relaxed", "vol_a3_per_atom": 30.91, "dft_energy_ev_per_atom": -5.92, "crystal_system": "orthorhombic", "spacegroup": "Cmce, No. 64", "lattice": [[-0.7941, -2.9961, 7.8088], [-7.5702, -2.8482, -1.8626], [6.9686, -5.5095, -1.4052]], "species": ["La", "La", "La", "La", "La", "La", "La", "La", "La", "La", "Sb", "Sb", "Sb", "Sb", "As", "As", "As", "As"], "fractional_positions": [[0.0000, 0.0000, 0.0000], [0.5000, 0.5000, 0.0000], [0.8410, 0.7899, 0.2594], [0.1590, 0.4695, 0.2594], [0.3410, 0.9695, 0.2594], [0.6590, 0.2899, 0.2594], [0.1590, 0.2101, 0.7406], [0.8410, 0.5305, 0.7406], [0.6590, 0.0305, 0.7406], [0.3410, 0.7101, 0.7406], [0.0000, 0.2019, 0.4038], [0.5000, 0.7019, 0.4038], [0.0000, 0.7981, 0.5962], [0.5000, 0.2981, 0.5962], [0.6464, 0.8532, 0.0000], [0.3536, 0.1468, 0.0000], [0.1464, 0.6468, 0.0000], [0.8536, 0.3532, 0.0000]]}

=====

No. 6
{"formula": "LiMgNb", "functional": "PBE", "state": "relaxed", "vol_a3_per_atom": 18.86, "dft_energy_ev_per_atom": -4.30, "crystal_system": "monoclinic", "spacegroup": "Pm, No. 6", "formation_energy_ev_per_atom": 0.23, "polymorph_energy_mev_per_atom": 66, "lattice": [[2.7065, 0.0000, -0.0008], [0.0000, 4.7039, 0.0000], [0.3621, 0.0000, 8.8882]], "species": ["Nb", "Nb", "Mg", "Mg", "Li", "Li"], "fractional_positions": [[0.2252, 0.5000, 0.9087], [0.8342, 0.0000, 0.7573], [0.5534, 0.0000, 0.0833], [0.9176, 0.5000, 0.2548], [0.3146, 0.0000, 0.4277], [0.4656, 0.5000, 0.5824]]}